(1)
! GGA-PBE Fe3Mo, relaxed; values from VASP
&SYSTEM
  ibrav = 0, nat = 8, ntyp = 2
/
ATOMIC_SPECIES
Fe 55.84 Fe.upf
Mo 95.94 Mo.upf
ATOMIC_POSITIONS angstrom
Fe 0.0000 1.4225 1.0288
Fe -1.3272 3.7212 1.0288
Fe 1.2319 0.7112 3.0863
Fe 1.3272 3.7212 1.0288
Fe 3.8862 0.7112 3.0863
Fe 2.5591 3.0099 3.0863
Mo 0.0000 2.9550 3.0863
Mo 2.5591 1.4775 1.0288
CELL_PARAMETERS angstrom
5.1181 0.0000 0.0000
-2.5591 4.4324 0.0000
0.0000 0.0000 4.1150
! total magnetic moment = 2.7 Bohr magnetons per cell
! density of states at the Fermi level = 3.96 states/eV/f.u.
! E = -8.98 eV/atom

---

(2)
! GGA-PBE FeMo3, relaxed; values from VASP
&SYSTEM
  ibrav = 0, nat = 4, ntyp = 2
/
ATOMIC_SPECIES
Fe 55.84 Fe.upf
Mo 95.94 Mo.upf
ATOMIC_POSITIONS angstrom
Fe 0.0000 0.0000 0.0000
Mo 0.0000 0.0000 4.5151
Mo 1.3745 0.7936 2.0617
Mo 1.3745 0.7936 6.9685
CELL_PARAMETERS angstrom
2.7490 0.0000 0.0000
-1.3745 2.3807 0.0000
0.0000 0.0000 9.0302
! total magnetic moment = 0.0 Bohr magnetons per cell
! density of states at the Fermi level = 5.58 states/eV/f.u.
! E = -9.88 eV/atom